An optimized crystal structure of ZnCo4Mo. Source: Alexandria via LeMat-Bulk, functional GGA-PBE.

Values from the calculation:
The spin magnetization is 0.006 μB per formula unit. For the energy relative to the elements, the calculation gives 0.407 eV per formula unit.

Lattice parameters (Å, degrees): 6.5735 6.5735 6.5735 90.00 90.00 90.00
Closest atoms and distances in Å follow each position.
Space group F-43m (No. 216)
Unique sites:
1 Zn 0.0000 0.0000 0.0000 x4  12 Co 2.72, 4 Mo 2.85
2 Co 0.1257 0.1257 0.6257 x16  6 Co 2.31-2.34
3 Mo 0.2500 0.2500 0.2500 x4  12 Co 2.73, 4 Zn 2.85